1.
Below is crystalline TbTmAl3 at its relaxed geometry, with properties calculated at the PBE level.

Cell lengths 13.845, 13.845, 4.532 Å; angles 90.00, 90.00, 165.34 degrees
Positions (direct):
1 Tb 0.072 0.928 0.750
2 Tb 0.928 0.072 0.250
3 Tm 0.212 0.788 0.250
4 Tm 0.788 0.212 0.750
5 Al 0.328 0.672 0.250
6 Al 0.380 0.620 0.750
7 Al 0.476 0.524 0.750
8 Al 0.524 0.476 0.250
9 Al 0.620 0.380 0.250
10 Al 0.672 0.328 0.750

Calculated values
Raw total energy = -4.5183 eV/atom
Volume = 21.99 A^3/atom
E_form = -0.45 eV/atom


2.
Below is crystalline Tb2TmAl2 at its relaxed geometry, with properties calculated at the PBE level.

Cell lengths 4.784, 6.597, 8.163 Å; angles 90.00, 90.00, 90.00 degrees
Positions (direct):
1 Tb 0.000 0.000 0.197
2 Tb 0.000 0.000 0.803
3 Tb 0.500 0.500 0.303
4 Tb 0.500 0.500 0.697
5 Tm 0.000 0.500 0.000
6 Tm 0.500 0.000 0.500
7 Al 0.000 0.300 0.500
8 Al 0.000 0.700 0.500
9 Al 0.500 0.200 0.000
10 Al 0.500 0.800 0.000

Calculated values
Raw total energy = -4.5599 eV/atom
Volume = 25.76 A^3/atom
E_form = -0.32 eV/atom


3.
Below is crystalline Tb2Tm6Al at its relaxed geometry, with properties calculated at the PBE level.

Cell lengths 5.314, 9.683, 11.454 Å; angles 90.00, 117.59, 90.00 degrees
Positions (direct):
1 Tb 0.241 0.192 0.240
2 Tb 0.241 0.308 0.740
3 Tb 0.759 0.692 0.260
4 Tb 0.759 0.808 0.760
5 Tm 0.106 0.636 0.606
6 Tm 0.106 0.864 0.106
7 Tm 0.184 0.519 0.184
8 Tm 0.184 0.981 0.684
9 Tm 0.432 0.684 0.933
10 Tm 0.432 0.816 0.433
11 Tm 0.568 0.184 0.567
12 Tm 0.568 0.316 0.067
13 Tm 0.816 0.019 0.316
14 Tm 0.816 0.481 0.816
15 Tm 0.894 0.136 0.894
16 Tm 0.894 0.364 0.394
17 Al 0.500 0.000 0.000
18 Al 0.500 0.500 0.500

Calculated values
Raw total energy = -4.4244 eV/atom
Volume = 29.02 A^3/atom
E_form = 0.00 eV/atom


4.
Below is crystalline Tb2Tm3Al2 at its relaxed geometry, with properties calculated at the PBE level.

Cell lengths 3.511, 3.511, 29.962 Å; angles 90.00, 90.00, 90.00 degrees
Positions (direct):
1 Tb 0.000 0.000 0.208
2 Tb 0.000 0.000 0.792
3 Tb 0.500 0.500 0.292
4 Tb 0.500 0.500 0.708
5 Tm 0.000 0.000 0.376
6 Tm 0.000 0.000 0.500
7 Tm 0.000 0.000 0.624
8 Tm 0.500 0.500 0.000
9 Tm 0.500 0.500 0.124
10 Tm 0.500 0.500 0.876
11 Al 0.000 0.000 0.062
12 Al 0.000 0.000 0.938
13 Al 0.500 0.500 0.438
14 Al 0.500 0.500 0.562

Calculated values
Raw total energy = -4.5357 eV/atom
Distance to the lowest polymorph of the same formula = 0 meV per atom
Volume = 26.39 A^3/atom
E_form = -0.23 eV/atom